Entry P
Density functional theory data (meta-GGA SCAN) for a crystal of CaTa2Ag relaxed with PBEsol.

Properties
- space-group type = C2/m
- Fermi-level density of states (states/eV per cell) = 3.3

Unit cell a=2.8656 b=5.1319 c=6.0303 alpha=113.01 beta=100.12 gamma=98.37
With the nearest neighbours (Å) after each atom.
Fractional coordinates of all 4 atoms:
Ca 0.5000 0.0000 0.0000  2 Ag 2.75, 2 Ca 2.87
Ag 0.0000 0.5000 0.0000  2 Ca 2.75, 2 Ag 2.87
Ta 0.5000 0.5000 0.5000  4 Ta 2.75-2.87
Ta 0.0000 0.0000 0.5000  4 Ta 2.75-2.87

Entry Q
Density functional theory data (meta-GGA SCAN) for a crystal of CaTa2Ag relaxed with PBEsol.

Properties
- space-group type = P4/mmm
- Fermi-level density of states (states/eV per cell) = 4.3

Unit cell a=2.8297 b=2.8297 c=9.7366 alpha=90.00 beta=90.00 gamma=90.00
With the nearest neighbours (Å) after each atom.
Fractional coordinates of all 4 atoms:
Ca 0.5000 0.5000 0.5000  4 Ca 2.83
Ag 0.5000 0.5000 0.0000  4 Ag 2.83, 8 Ta 2.92
Ta 0.0000 0.0000 0.7813  4 Ta 2.83, 4 Ag 2.92
Ta 0.0000 0.0000 0.2187  4 Ta 2.83, 4 Ag 2.92

Which structure is most stable? entry P, by 129 meV/atom over the runner-up.

Entry P
Density functional theory data (meta-GGA SCAN) for a crystal of CaTcAg2 relaxed with PBEsol.

Properties
- space-group type = P4mm
- Fermi-level density of states (states/eV per cell) = 1.6

Unit cell a=3.3865 b=3.3865 c=6.5746 alpha=90.00 beta=90.00 gamma=90.00
With the nearest neighbours (Å) after each atom.
Fractional coordinates of all 4 atoms:
Ca 0.0000 0.0000 0.5044  4 Tc 3.02, 6 Ag 3.06-3.34
Tc 0.5000 0.5000 0.7833  5 Ag 2.78-2.84, 4 Ca 3.02
Ag 0.0000 0.0000 0.9966  4 Tc 2.78, 4 Ag 2.79
Ag 0.5000 0.5000 0.2158  4 Ag 2.79, 1 Tc 2.84, 4 Ca 3.06

Entry Q
Density functional theory data (meta-GGA SCAN) for a crystal of CaTcAg2 relaxed with PBEsol.

Properties
- space-group type = P4mm
- Fermi-level density of states (states/eV per cell) = 2.9

Unit cell a=2.7947 b=2.7947 c=9.0096 alpha=90.00 beta=90.00 gamma=90.00
With the nearest neighbours (Å) after each atom.
Fractional coordinates of all 4 atoms:
Ca 0.0000 0.0000 0.5068  4 Ca 2.79, 4 Tc 3.07
Tc 0.5000 0.5000 0.7674  4 Tc 2.79, 4 Ag 2.85, 4 Ca 3.07
Ag 0.0000 0.0000 0.9946  8 Ag 2.79-2.91, 4 Tc 2.85
Ag 0.5000 0.5000 0.2312  8 Ag 2.79-2.91

Which structure is most stable? entry Q, by 28 meV/atom over the runner-up.

Entry P
Density functional theory data (meta-GGA SCAN) for a crystal of Ca2TcAg relaxed with PBEsol.

Properties
- space-group type = Imm2
- Fermi-level density of states (states/eV per cell) = 3.5

Unit cell a=3.0919 b=5.1408 c=6.2840 alpha=114.14 beta=104.24 gamma=90.00
With the nearest neighbours (Å) after each atom.
Fractional coordinates of all 4 atoms:
Ca 0.9794 0.9794 0.9587  4 Tc 3.03, 4 Ca 3.09-3.40, 2 Ag 3.24
Ca 0.7782 0.2782 0.5565  4 Ag 3.06, 4 Ca 3.09-3.40, 2 Tc 3.09
Tc 0.5209 0.5209 0.0418  2 Ag 2.70
Ag 0.2215 0.7215 0.4430  2 Tc 2.70

Entry Q
Density functional theory data (meta-GGA SCAN) for a crystal of Ca2TcAg relaxed with PBEsol.

Properties
- space-group type = F-43m
- Fermi-level density of states (states/eV per cell) = 3.9

Unit cell a=4.9247 b=4.9247 c=4.9247 alpha=60.00 beta=60.00 gamma=60.00
With the nearest neighbours (Å) after each atom.
Fractional coordinates of all 4 atoms:
Ca 0.0000 0.0000 0.0000  4 Tc 3.02, 4 Ca 3.02
Ca 0.7500 0.7500 0.7500  4 Ca 3.02, 4 Ag 3.02
Tc 0.2500 0.2500 0.2500  4 Ca 3.02, 4 Ag 3.02
Ag 0.5000 0.5000 0.5000  4 Tc 3.02, 4 Ca 3.02

Which structure is most stable? entry P, by 108 meV/atom over the runner-up.

Entry P
Density functional theory data (meta-GGA SCAN) for a crystal of CaAg2W relaxed with PBEsol.

Properties
- space-group type = P4mm
- Fermi-level density of states (states/eV per cell) = 1.8

Unit cell a=2.8561 b=2.8561 c=8.9194 alpha=90.00 beta=90.00 gamma=90.00
With the nearest neighbours (Å) after each atom.
Fractional coordinates of all 4 atoms:
Ca 0.0000 0.0000 0.5015  4 Ca 2.86, 4 W 3.14, 4 Ag 3.17
Ag 0.0000 0.0000 0.9995  8 Ag 2.86-2.87, 4 W 2.87
Ag 0.5000 0.5000 0.2278  8 Ag 2.86-2.87, 4 Ca 3.17
W 0.5000 0.5000 0.7713  4 W 2.86, 4 Ag 2.87, 4 Ca 3.14

Entry Q
Density functional theory data (meta-GGA SCAN) for a crystal of CaAg2W relaxed with PBEsol.

Properties
- space-group type = Cmmm
- Fermi-level density of states (states/eV per cell) = 2.3

Unit cell a=2.7745 b=5.2084 c=5.2084 alpha=106.41 beta=90.00 gamma=90.00
With the nearest neighbours (Å) after each atom.
Fractional coordinates of all 4 atoms:
Ca 0.5000 0.0000 0.0000  2 Ca 2.77, 8 Ag 2.95
Ag 0.0000 0.5000 0.0000  2 Ag 2.77, 4 W 2.95, 4 Ca 2.95
Ag 0.0000 0.0000 0.5000  2 Ag 2.77, 4 Ca 2.95, 4 W 2.95
W 0.5000 0.5000 0.5000  2 W 2.77, 8 Ag 2.95

Which structure is most stable? entry P, by 49 meV/atom over the runner-up.